Entry 1:
Ta2CoCu after structural relaxation. Source: the Alexandria database, functional GGA-PBE.

```
data_Ta2CoCu
_cell_length_a 2.785
_cell_length_b 3.812
_cell_length_c 5.523
_cell_angle_alpha 90.00
_cell_angle_beta 93.45
_cell_angle_gamma 90.00
_symmetry_space_group_name_H-M 'P 1 2/m 1'
_symmetry_Int_Tables_number 10
loop_
_symmetry_equiv_pos_as_xyz
'x,y,z'
'-x,-y,-z'
'-x,y,-z'
'x,-y,z'
loop_
_atom_site_label
_atom_site_type_symbol
_atom_site_fract_x
_atom_site_fract_y
_atom_site_fract_z
Ta1 Ta 0.020 0.000 0.258
Co1 Co 0.500 0.500 0.500
Cu1 Cu 0.500 0.500 0.000
```

- formation energy (meV per atom) = 8
- total magnetization (μB per formula unit) = 0.00
- N(E_F) (states/eV/cell) = 3.3
- electronic total energy (eV per atom) = -8.719

=====

Entry 2:
TaHg2Pt after structural relaxation. Source: the Alexandria database, functional GGA-PBE.

```
data_TaHg2Pt
_cell_length_a 4.205
_cell_length_b 4.205
_cell_length_c 8.527
_cell_angle_alpha 90.00
_cell_angle_beta 90.00
_cell_angle_gamma 90.00
_symmetry_space_group_name_H-M 'I 4/m m m'
_symmetry_Int_Tables_number 139
_symmetry_space_group_name_Hall '-I 4 2'
loop_
_atom_site_label
_atom_site_type_symbol
_atom_site_fract_x
_atom_site_fract_y
_atom_site_fract_z
Ta1 Ta 0.000 0.000 0.000
Hg1 Hg 0.000 0.500 0.250
Pt1 Pt 0.000 0.000 0.500
```

- formation energy (meV per atom) = 353
- total magnetization (μB per formula unit) = 0.94
- E above lowest polymorph (meV/atom) = 387
- N(E_F) (states/eV/cell) = 5.8
- electronic total energy (eV per atom) = -4.271

=====

Number 1: volume 59 Å³ per cell. Number 2: volume 151 Å³ per cell.